BaNaS2O6: optimized geometry, PBE. Values from VASP.

```
&SYSTEM
  ibrav = 0, nat = 10, ntyp = 4
/
ATOMIC_SPECIES
O 16.00 O.upf
Na 22.99 Na.upf
S 32.06 S.upf
Ba 137.33 Ba.upf
ATOMIC_POSITIONS angstrom
O -8.896 2.590 -1.918
O -6.204 4.344 -1.083
O -4.140 1.588 -1.949
O -6.228 2.748 -4.255
O -6.833 -0.166 -2.784
O -6.808 1.429 0.388
Na -6.518 2.089 -1.934
S -9.489 2.877 -3.290
S -3.547 1.301 -0.577
Ba 0.000 0.000 0.000
CELL_PARAMETERS angstrom
-2.663 2.952 -3.908
-4.732 -1.941 -2.218
-5.641 3.167 2.259
```

Summary:
**Calculated total energy**: -5.881 eV per atom
**V**: 16.28 Å³/atom